This record from the Alexandria database describes AlRe2W after structural relaxation. The functional is GGA-PBE.

a = 4.9754 Å, b = 4.9754 Å, c = 4.9754 Å
α = 135.08°, β = 135.08°, γ = 65.40°
Positions (direct):
Re 0.2500 0.7500 0.5000
Re 0.0000 0.0000 0.0000
Al 0.7500 0.2500 0.5000
W 0.5000 0.5000 0.0000

Output
- D(E_F) (states/eV per cell) = 3.1
- SG = I-4m2 (119)
- formation energy (eV/atom) = 0.087



This record from the Alexandria database describes TaMnRu2 after structural relaxation. The functional is GGA-PBE.

a = 2.8329 Å, b = 3.7500 Å, c = 5.5059 Å
α = 90.00°, β = 90.00°, γ = 90.00°
Site moments in Bohr magnetons follow the coordinates.
Positions (direct):
Mn 0.5000 0.5000 0.7661  2.34
Ru 0.5000 0.5000 0.2412  0.04
Ru 0.0000 0.0000 0.9928  -0.16
Ta 0.0000 0.0000 0.5000  -0.14

Output
- distance to the lowest polymorph of the same formula (eV per formula unit) = 1.05
- D(E_F) (states/eV per cell) = 5.0
- SG = Pmm2 (25)
- formation energy (eV/atom) = 0.001



This record from the Alexandria database describes Cd2RuCl after structural relaxation. The functional is GGA-PBE.

a = 5.4904 Å, b = 5.4904 Å, c = 5.4904 Å
α = 136.37°, β = 136.37°, γ = 63.42°
Site moments in Bohr magnetons follow the coordinates.
Positions (direct):
Cd 0.0000 0.0000 0.0000  -0.02
Cd 0.2500 0.7500 0.5000  -0.02
Ru 0.7500 0.2500 0.5000  0.84
Cl 0.5000 0.5000 0.0000  0.02

Output
- distance to the lowest polymorph of the same formula (eV per formula unit) = 1.70
- formation energy without anion corrections (eV/atom) = 0.45
- D(E_F) (states/eV per cell) = 4.0
- SG = I-4m2 (119)



This record from the Alexandria database describes ZrTl2PbSe4 after structural relaxation. The functional is GGA-PBE.

a = 4.1252 Å, b = 7.9494 Å, c = 7.4294 Å
α = 73.45°, β = 90.00°, γ = 90.00°
Positions (direct):
Zr 0.0000 0.5000 0.5000
Tl 0.0000 0.0000 0.0000
Tl 0.5000 0.0000 0.5000
Se 0.5000 0.2997 0.7088
Se 0.5000 0.7003 0.2912
Se 0.0000 0.7102 0.7304
Se 0.0000 0.2898 0.2696
Pb 0.5000 0.5000 0.0000

Output
- distance to the lowest polymorph of the same formula (eV per formula unit) = 0.26
- formation energy without anion corrections (eV/atom) = -0.79
- D(E_F) (states/eV per cell) = 0.4
- SG = P2/m (10)